Entry from the Open Quantum Materials Database: a geometry-optimized HoCoNO structure (GGA+U).

abc: 4.7500 4.7500 4.3159
angles: 90.00 90.00 90.00
Closest atoms and distances in Å follow each position.
Positions (direct):
1 Co 0.7500 0.7500 0.0007  2 N 2.16, 4 O 2.38
2 Co 0.2500 0.2500 0.9993  2 N 2.16, 4 O 2.38
3 Ho 0.7500 0.2500 0.5000  2 O 2.16, 4 N 2.38
4 Ho 0.2500 0.7500 0.5000  2 O 2.16, 4 N 2.38
5 N 0.2500 0.2500 0.4999  2 Co 2.16, 4 Ho 2.38
6 N 0.7500 0.7500 0.5001  2 Co 2.16, 4 Ho 2.38
7 O 0.7500 0.2500 0.0000  2 Ho 2.16, 4 Co 2.38
8 O 0.2500 0.7500 0.0000  2 Ho 2.16, 4 Co 2.38

Calculated values
VASP energy = -7.035 eV/atom
space-group type = P4/nmm (129)
M_tot = 5.914 μB/cell
energy above the most stable polymorph in this dataset = 104 meV/atom